1.
RbNa4P2, relaxed, DFT GGA-PBE; energy of formation from the pure elements = -0.19 eV/atom; theoretical density = 1901 kg/m³; calculated total energy = -0.097 Ha/atom; N(E_F) = 0.65 states/eV per atom; symmetry = Cmmm, No. 65
1.0
4.960 0.000 0.000
0.000 16.983 0.000
0.000 0.000 4.964
Rb Na P
2 8 4
direct
0.000 0.000 0.000
0.500 0.500 0.000
0.000 0.159 0.500
0.000 0.340 0.000
0.000 0.660 0.000
0.000 0.841 0.500
0.500 0.160 0.000
0.500 0.341 0.500
0.500 0.659 0.500
0.500 0.840 0.000
0.000 0.436 0.500
0.000 0.564 0.500
0.500 0.064 0.500
0.500 0.936 0.500

=====

2.
BaSi3, relaxed, DFT GGA-PBE; theoretical density = 4214 kg/m³; calculated total energy = -0.165 Ha/atom; N(E_F) = 0.44 states/eV per atom; symmetry = Cmmm, No. 65
1.0
5.011 0.000 0.000
0.000 5.062 0.000
0.000 0.000 6.885
Ba Si
2 6
direct
0.000 0.000 0.000
0.500 0.500 0.000
0.000 0.000 0.500
0.000 0.500 0.333
0.000 0.500 0.667
0.500 0.000 0.333
0.500 0.000 0.667
0.500 0.500 0.500

=====

3.
YAuC, relaxed, DFT GGA-PBE; energy of formation from the pure elements = 0.34 eV/atom; theoretical density = 9713 kg/m³; calculated total energy = -0.220 Ha/atom; N(E_F) = 0.14 states/eV per atom; symmetry = P6_3/mmc, No. 194
1.0
4.690 0.000 0.000
-2.345 4.061 0.000
0.000 0.000 5.348
Y Au C
2 2 2
direct
0.333 0.667 0.250
0.667 0.333 0.750
0.000 0.000 0.000
0.000 0.000 0.500
0.333 0.667 0.750
0.667 0.333 0.250

=====

4.
Pm5Dy2Bi4, relaxed, DFT GGA-PBE; energy of formation from the pure elements = -0.29 eV/atom; theoretical density = 8424 kg/m³; calculated total energy = -0.173 Ha/atom; N(E_F) = 1.10 states/eV per atom; symmetry = C2/m, No. 12
1.0
12.856 -1.744 0.000
12.856 1.744 0.000
-0.296 0.000 8.292
Pm Dy Bi
5 2 4
direct
0.000 0.000 0.000
0.321 0.321 0.503
0.351 0.351 0.021
0.649 0.649 0.979
0.679 0.679 0.497
0.448 0.448 0.334
0.552 0.552 0.666
0.236 0.236 0.214
0.430 0.430 0.713
0.570 0.570 0.287
0.764 0.764 0.786

=====

5.
KCrSe2, relaxed, DFT GGA-PBE; theoretical density = 3843 kg/m³; calculated total energy = -0.179 Ha/atom; N(E_F) = 0.58 states/eV per atom; symmetry = P4mm, No. 99
1.0
3.650 0.000 0.000
0.000 3.650 0.000
0.000 0.000 8.078
K Cr Se
1 1 2
direct
0.000 0.000 0.000
0.500 0.500 0.517
0.000 0.000 0.595
0.500 0.500 0.228

=====

6.
MnPb2Cl8, relaxed, DFT GGA-PBE; theoretical density = 3779 kg/m³; calculated total energy = -0.141 Ha/atom; symmetry = C2/m, No. 12
1.0
7.682 -3.148 0.000
7.682 3.148 0.000
-0.219 0.000 6.841
Mn Pb Cl
1 2 8
direct
0.000 0.000 0.000
0.139 0.139 0.471
0.861 0.861 0.529
0.150 0.150 0.055
0.233 0.738 0.237
0.262 0.767 0.763
0.315 0.315 0.534
0.685 0.685 0.466
0.738 0.233 0.237
0.767 0.262 0.763
0.850 0.850 0.945

=====

Question: Look up the calculated total energy of the second one.
Answer: -0.165 Ha/atom